Record 1
Computed, not measured: an optimized crystal structure of Ca2PmHg at the PBE level of DFT.

a b c (Å): 3.813 3.813 11.002
angles (deg): 80.02 80.02 60.00
Sites, in units of the cell vectors:
1 Ca 0.072 0.072 0.785
2 Ca 0.261 0.261 0.216
3 Hg 0.666 0.666 0.002
4 Pm 0.501 0.501 0.497

Properties
spin magnetization	0.000	μB per atom
formation energy	-0.15	eV per atom
electronic total energy	-2.414	eV/atom
mass density	5.21	Mg/m³
SG	R3m (160)

***

Record 2
Computed, not measured: an optimized crystal structure of Pm12Nd2Tm5 at the PBE level of DFT.

a b c (Å): 9.289 11.704 8.910
angles (deg): 128.95 90.00 113.38
Sites, in units of the cell vectors:
1 Pm 0.071 0.760 0.060
2 Pm 0.518 0.037 0.365
3 Pm 0.921 0.841 0.757
4 Pm 0.929 0.240 0.940
5 Pm 0.690 0.760 0.060
6 Pm 0.082 0.658 0.384
7 Pm 0.577 0.658 0.384
8 Pm 0.423 0.342 0.616
9 Pm 0.310 0.240 0.940
10 Pm 0.482 0.963 0.635
11 Pm 0.079 0.159 0.243
12 Pm 0.918 0.342 0.616
13 Nd 0.325 0.000 0.000
14 Nd 0.675 0.000 0.000
15 Tm 0.308 0.616 0.665
16 Tm 0.000 0.000 0.500
17 Tm 0.692 0.384 0.335
18 Tm 0.285 0.570 0.011
19 Tm 0.715 0.430 0.989

Properties
spin magnetization	0.000	μB per atom
formation energy	0.20	eV per atom
electronic total energy	-4.481	eV/atom
mass density	7.36	Mg/m³
SG	C2/m (12)

***

Record 3
Computed, not measured: an optimized crystal structure of CuSb2Cl at the PBE level of DFT.

a b c (Å): 3.654 3.654 7.147
angles (deg): 90.00 90.00 90.00
Sites, in units of the cell vectors:
1 Sb 0.000 0.000 0.952
2 Sb 0.500 0.500 0.214
3 Cl 0.000 0.000 0.510
4 Cu 0.500 0.500 0.824

Properties
spin magnetization	0.000	μB per atom
formation energy without anion corrections	0.10	eV/atom
electronic total energy	-3.443	eV/atom
mass density	5.96	Mg/m³
SG	P4mm (99)

***

Record 4
Computed, not measured: an optimized crystal structure of TiBe3In at the PBE level of DFT.

a b c (Å): 4.367 4.367 4.367
angles (deg): 90.00 90.00 90.00
Sites, in units of the cell vectors:
1 Be 0.000 0.500 0.000
2 Be 0.500 0.000 0.000
3 Be 0.000 0.000 0.500
4 In 0.000 0.000 0.000
5 Ti 0.500 0.500 0.500

Properties
spin magnetization	0.000	μB per atom
formation energy	1.21	eV per atom
electronic total energy	-3.151	eV/atom
mass density	3.78	Mg/m³
SG	Pm-3m (221)

***

Record 5
Computed, not measured: an optimized crystal structure of HfV2Re at the PBE level of DFT.

a b c (Å): 3.155 4.435 4.435
angles (deg): 90.00 90.00 90.00
Sites, in units of the cell vectors:
1 Re 0.500 0.000 0.000
2 Hf 0.500 0.500 0.500
3 V 0.000 0.500 0.000
4 V 0.000 0.000 0.500

Properties
spin magnetization	0.220	μB per atom
formation energy	-0.04	eV per atom
electronic total energy	-10.196	eV/atom
mass density	12.49	Mg/m³
SG	P4/mmm (123)

***

Record 6
Computed, not measured: an optimized crystal structure of InAgH3 at the PBE level of DFT.

a b c (Å): 3.911 3.911 3.911
angles (deg): 90.00 90.00 90.00
Sites, in units of the cell vectors:
1 Ag 0.000 0.000 0.000
2 In 0.500 0.500 0.500
3 H 0.000 0.500 0.000
4 H 0.500 0.000 0.000
5 H 0.000 0.000 0.500

Properties
spin magnetization	0.000	μB per atom
electronic total energy	-2.701	eV/atom
mass density	6.26	Mg/m³
SG	Pm-3m (221)

***

Q: Which of these has the highest electronic total energy?
A: Ca2PmHg